Na2Tl (PBE, optimized geometry); energy above the most stable polymorph in this dataset = 0.0199 eV per atom; size of the total moment = 0.00 μB/cell; energy = -1.748 eV/atom; space-group type = No. 63
1.0
1.654 -9.351 0.000
1.654 9.351 0.000
0.000 0.000 5.709
Na Tl
4 2
Direct
0.048 0.952 0.750
0.281 0.719 0.250
0.719 0.281 0.750
0.952 0.048 0.250
0.382 0.618 0.750
0.618 0.382 0.250